Below is TiAlCBr2 after structural relaxation, with properties calculated at the PBEsol level.

abc: 4.8965 4.8965 5.4493
angles: 90.00 90.00 90.00
Fractional coordinates of all 5 atoms:
1 Ti 0.0000 0.0000 0.0000
2 Al 0.0000 0.0000 0.5000
3 C 0.5000 0.5000 0.0000
4 Br 0.0000 0.5000 0.5000
5 Br 0.5000 0.0000 0.5000

## Properties
- Uncorrected energy: -17.32 eV per cell
- Space group: No. 123